(1)
First-principles (GGA-PBE) data for crystalline PrDyBi at its relaxed geometry, as listed in Alexandria.

## Properties
Formation enthalpy at 0 K = -317 meV per atom
SG = Immm
Calculated volume = 197 Å³ per cell
Crystal system = orthorhombic

Cell: 9.919 9.919 9.919 Å, 159.70 144.37 41.35°
Fractional positions:
Pr 0.168 0.168 0.000
Pr 0.832 0.832 0.000
Dy 0.244 0.500 0.744
Dy 0.756 0.500 0.256
Bi 0.346 0.346 0.000
Bi 0.654 0.654 0.000

=====

(2)
First-principles (GGA-PBE) data for crystalline Pr3Dy4Bi8 at its relaxed geometry, as listed in Alexandria.

## Properties
Formation enthalpy at 0 K = -692 meV per atom
SG = C2/m
Calculated volume = 529 Å³ per cell
Crystal system = monoclinic

Cell: 9.076 9.076 9.017 Å, 119.75 119.75 90.08°
Fractional positions:
Pr 0.000 0.000 0.000
Pr 0.000 0.500 0.000
Pr 0.500 0.000 0.000
Dy 0.000 0.500 0.500
Dy 0.500 0.000 0.500
Dy 0.500 0.500 0.000
Dy 0.500 0.500 0.500
Bi 0.249 0.751 0.500
Bi 0.253 0.253 0.508
Bi 0.253 0.747 0.000
Bi 0.254 0.254 0.999
Bi 0.746 0.746 0.001
Bi 0.747 0.253 0.000
Bi 0.747 0.747 0.492
Bi 0.751 0.249 0.500

=====

(3)
First-principles (GGA-PBE) data for crystalline Pr3DyBi3 at its relaxed geometry, as listed in Alexandria.

## Properties
Formation enthalpy at 0 K = -719 meV per atom
SG = R-3
Calculated volume = 495 Å³ per cell
Crystal system = trigonal

Cell: 8.448 8.448 8.448 Å, 67.52 67.52 67.52°
Fractional positions:
Pr 0.090 0.824 0.343
Pr 0.176 0.657 0.910
Pr 0.343 0.090 0.824
Pr 0.657 0.910 0.176
Pr 0.824 0.343 0.090
Pr 0.910 0.176 0.657
Dy 0.333 0.333 0.333
Dy 0.667 0.667 0.667
Bi 0.076 0.473 0.691
Bi 0.309 0.924 0.527
Bi 0.473 0.691 0.076
Bi 0.527 0.309 0.924
Bi 0.691 0.076 0.473
Bi 0.924 0.527 0.309

=====

(4)
First-principles (GGA-PBE) data for crystalline PrDy2Bi at its relaxed geometry, as listed in Alexandria.

## Properties
Formation enthalpy at 0 K = -406 meV per atom
SG = Cmcm
Calculated volume = 258 Å³ per cell
Crystal system = orthorhombic

Cell: 6.626 6.626 9.862 Å, 90.00 90.00 143.38°
Fractional positions:
Pr 0.054 0.946 0.750
Pr 0.946 0.054 0.250
Dy 0.364 0.636 0.538
Dy 0.364 0.636 0.962
Dy 0.636 0.364 0.038
Dy 0.636 0.364 0.462
Bi 0.235 0.765 0.250
Bi 0.765 0.235 0.750

=====

(5)
First-principles (GGA-PBE) data for crystalline PrDyBi at its relaxed geometry, as listed in Alexandria.

## Properties
Formation enthalpy at 0 K = -483 meV per atom
SG = I4mm
Calculated volume = 93 Å³ per cell
Crystal system = tetragonal

Cell: 6.134 6.134 6.134 Å, 140.44 140.44 57.19°
Fractional positions:
Pr 0.000 0.000 0.000
Dy 0.688 0.688 0.000
Bi 0.334 0.334 0.000

=====

(6)
First-principles (GGA-PBE) data for crystalline Pr5DyBi4 at its relaxed geometry, as listed in Alexandria.

## Properties
Formation enthalpy at 0 K = -567 meV per atom
SG = C2/m
Calculated volume = 377 Å³ per cell
Crystal system = monoclinic

Cell: 10.065 10.065 8.835 Å, 105.06 105.06 25.92°
Fractional positions:
Pr 0.000 0.000 0.000
Pr 0.324 0.324 0.149
Pr 0.335 0.335 0.678
Pr 0.665 0.665 0.322
Pr 0.676 0.676 0.851
Dy 0.000 0.000 0.500
Bi 0.166 0.166 0.585
Bi 0.493 0.493 0.251
Bi 0.507 0.507 0.749
Bi 0.834 0.834 0.415

=====

(7)
First-principles (GGA-PBE) data for crystalline PrDy3Bi2 at its relaxed geometry, as listed in Alexandria.

## Properties
Formation enthalpy at 0 K = -509 meV per atom
SG = C2/m
Calculated volume = 379 Å³ per cell
Crystal system = monoclinic

Cell: 9.696 9.696 9.964 Å, 112.98 112.98 26.24°
Fractional positions:
Pr 0.112 0.112 0.120
Pr 0.888 0.888 0.880
Dy 0.058 0.058 0.671
Dy 0.312 0.312 0.111
Dy 0.361 0.361 0.523
Dy 0.639 0.639 0.477
Dy 0.688 0.688 0.889
Dy 0.942 0.942 0.329
Bi 0.246 0.246 0.710
Bi 0.488 0.488 0.157
Bi 0.512 0.512 0.843
Bi 0.754 0.754 0.290

=====

(8)
First-principles (GGA-PBE) data for crystalline Pr3Dy2Bi3 at its relaxed geometry, as listed in Alexandria.

## Properties
Formation enthalpy at 0 K = -618 meV per atom
SG = Cmcm
Calculated volume = 527 Å³ per cell
Crystal system = orthorhombic

Cell: 7.559 7.559 16.064 Å, 90.00 90.00 144.96°
Fractional positions:
Pr 0.048 0.952 0.617
Pr 0.048 0.952 0.883
Pr 0.340 0.660 0.750
Pr 0.660 0.340 0.250
Pr 0.952 0.048 0.117
Pr 0.952 0.048 0.383
Dy 0.237 0.763 0.092
Dy 0.237 0.763 0.408
Dy 0.763 0.237 0.592
Dy 0.763 0.237 0.908
Bi 0.367 0.633 0.250
Bi 0.395 0.605 0.541
Bi 0.395 0.605 0.959
Bi 0.605 0.395 0.041
Bi 0.605 0.395 0.459
Bi 0.633 0.367 0.750

=====

(9)
First-principles (GGA-PBE) data for crystalline PrDy2Bi at its relaxed geometry, as listed in Alexandria.

## Properties
Formation enthalpy at 0 K = -372 meV per atom
SG = P4/mmm
Calculated volume = 120 Å³ per cell
Crystal system = tetragonal

Cell: 4.947 4.947 4.885 Å, 90.00 90.00 90.00°
Fractional positions:
Pr 0.000 0.000 0.000
Dy 0.000 0.500 0.500
Dy 0.500 0.000 0.500
Bi 0.500 0.500 0.000

=====

(10)
First-principles (GGA-PBE) data for crystalline Pr5Dy2Bi5 at its relaxed geometry, as listed in Alexandria.

## Properties
Formation enthalpy at 0 K = -685 meV per atom
SG = C2/m
Calculated volume = 421 Å³ per cell
Crystal system = monoclinic

Cell: 7.883 7.883 13.155 Å, 110.78 110.78 33.66°
Fractional positions:
Pr 0.000 0.000 0.000
Pr 0.163 0.163 0.536
Pr 0.222 0.222 0.842
Pr 0.778 0.778 0.158
Pr 0.837 0.837 0.464
Dy 0.451 0.451 0.708
Dy 0.549 0.549 0.292
Bi 0.187 0.187 0.283
Bi 0.384 0.384 0.075
Bi 0.500 0.500 0.500
Bi 0.616 0.616 0.925
Bi 0.813 0.813 0.717

=====

(11)
First-principles (GGA-PBE) data for crystalline PrDy2Bi3 at its relaxed geometry, as listed in Alexandria.

## Properties
Formation enthalpy at 0 K = -885 meV per atom
SG = Immm
Calculated volume = 198 Å³ per cell
Crystal system = orthorhombic

Cell: 7.849 7.849 7.849 Å, 146.44 131.76 60.05°
Fractional positions:
Pr 0.000 0.000 0.000
Dy 0.335 0.335 0.000
Dy 0.665 0.665 0.000
Bi 0.173 0.673 0.500
Bi 0.500 0.000 0.500
Bi 0.827 0.327 0.500

=====

(12)
First-principles (GGA-PBE) data for crystalline Pr3DyBi4 at its relaxed geometry, as listed in Alexandria.

## Properties
Formation enthalpy at 0 K = -929 meV per atom
SG = Pm-3m
Calculated volume = 275 Å³ per cell
Crystal system = cubic

Cell: 6.506 6.506 6.506 Å, 90.00 90.00 90.00°
Fractional positions:
Pr 0.000 0.000 0.500
Pr 0.000 0.500 0.000
Pr 0.500 0.000 0.000
Dy 0.500 0.500 0.500
Bi 0.000 0.000 0.000
Bi 0.000 0.500 0.500
Bi 0.500 0.000 0.500
Bi 0.500 0.500 0.000

=====

no.,calculated total energy (eV/cell)
1,-28.425
2,-74.179
3,-71.239
4,-38.981
5,-14.712
6,-49.697
7,-58.809
8,-80.262
9,-19.353
10,-60.724
11,-30.934
12,-41.894